{"formula": "KCr2Cl", "functional": "GGA-PBEsol", "state": "optimized geometry", "n_ef_per_ev_atom": 0.510, "total_energy_ry_per_atom": -0.38516, "m_tot_mub_per_fu": 9.82, "crystal_system": "orthorhombic", "raw_formation_energy_ev_per_atom": 0.6660, "relative_energy_ev_per_atom": 0.171, "lattice": [[-0.305, -2.905, -1.681], [4.747, -0.673, 0.301], [-0.794, -3.122, 5.538]], "species": ["Cr", "K", "Cl", "Cr"], "frac_coords": [[0.500, 0.500, 0.000], [0.500, 0.000, 0.500], [0.000, 0.500, 0.500], [0.000, 0.000, 0.000]]}